(1)
VASP calculation (PBE) on crystalline Sr2HgPb2 at its relaxed geometry.

Its crystal system is tetragonal. The energy above the most stable polymorph in this dataset comes out at 127 meV per atom. The density of states at the Fermi level comes out at 0.711 states/eV per atom.

a b c (Å): 9.161 9.161 4.411
angles (deg): 90.00 90.00 90.00
Element x y z (fractional)
Sr (0.179, 0.321, 0.000)
Sr (0.321, 0.821, 0.000)
Sr (0.679, 0.179, 0.000)
Sr (0.821, 0.679, 0.000)
Hg (0.000, 0.000, 0.000)
Hg (0.500, 0.500, 0.000)
Pb (0.118, 0.618, 0.500)
Pb (0.382, 0.118, 0.500)
Pb (0.618, 0.882, 0.500)
Pb (0.882, 0.382, 0.500)

***

(2)
VASP calculation (PBE) on crystalline SrHg2Pb at its relaxed geometry.

Its crystal system is tetragonal. The density of states at the Fermi level comes out at 0.444 states/eV per atom.

a b c (Å): 3.907 3.907 7.726
angles (deg): 90.00 90.00 90.00
Element x y z (fractional)
Sr (0.000, 0.000, 0.000)
Hg (0.500, 0.500, 0.258)
Hg (0.500, 0.500, 0.742)
Pb (0.000, 0.000, 0.500)

***

(3)
VASP calculation (PBE) on crystalline Sr2HgPb at its relaxed geometry.

Its crystal system is trigonal. The density of states at the Fermi level comes out at 1.419 states/eV per atom.

a b c (Å): 9.869 9.869 9.869
angles (deg): 24.85 24.85 24.85
Element x y z (fractional)
Sr (0.247, 0.247, 0.247)
Sr (0.753, 0.753, 0.753)
Hg (0.500, 0.500, 0.500)
Pb (0.000, 0.000, 0.000)

***

(4)
VASP calculation (PBE) on crystalline SrHg2Pb at its relaxed geometry.

Its crystal system is monoclinic. The density of states at the Fermi level comes out at 0.445 states/eV per atom.

a b c (Å): 3.981 4.945 6.475
angles (deg): 90.00 107.00 90.00
Element x y z (fractional)
Sr (0.000, 0.000, 0.000)
Hg (0.584, 0.500, 0.178)
Hg (0.722, 0.000, 0.460)
Pb (0.308, 0.500, 0.628)

***

(5)
VASP calculation (PBE) on crystalline Sr2HgPb at its relaxed geometry.

Its crystal system is tetragonal. The density of states at the Fermi level comes out at 0.863 states/eV per atom.

a b c (Å): 4.070 4.070 9.078
angles (deg): 90.00 90.00 90.00
Element x y z (fractional)
Sr (0.000, 0.000, 0.000)
Sr (0.500, 0.500, 0.375)
Hg (0.000, 0.000, 0.568)
Pb (0.500, 0.500, 0.764)

***

(6)
VASP calculation (PBE) on crystalline Sr2HgPb at its relaxed geometry.

Its crystal system is monoclinic. The density of states at the Fermi level comes out at 0.737 states/eV per atom.

a b c (Å): 5.368 5.368 7.494
angles (deg): 103.43 103.43 46.38
Element x y z (fractional)
Sr (0.249, 0.249, 0.254)
Sr (0.751, 0.751, 0.746)
Hg (0.500, 0.500, 0.000)
Pb (0.000, 0.000, 0.500)

***

Number 1: ρ 7.1 g/cm³, formation energy from the elements -361.1 meV/atom. Number 2: ρ 9.8 g/cm³, formation energy from the elements -350.9 meV/atom. Number 3: ρ 6.5 g/cm³, formation energy from the elements -345.3 meV/atom. Number 4: ρ 9.5 g/cm³, formation energy from the elements -310.8 meV/atom. Number 5: ρ 6.4 g/cm³, formation energy from the elements -306.1 meV/atom. Number 6: ρ 6.4 g/cm³, formation energy from the elements -391.2 meV/atom.